Record 1
{
  "formula": "ZnSiNi2",
  "functional": "PBEsol",
  "state": "relaxed",
  "cell": [[2.719, 0.000, 0.000], [0.000, 2.719, 0.000], [0.000, 0.000, 6.069]],
  "species": ["Zn", "Si", "Ni", "Ni"],
  "fractional_positions": [[0.000, 0.000, 0.000], [0.000, 0.000, 0.500], [0.500, 0.500, 0.282], [0.500, 0.500, 0.718]],
  "dos_ef_per_ev_fu": 1.510,
  "dft_energy_ev_per_atom": -5.375,
  "space_group": "P4/mmm",
  "e_form_raw_kj_per_mol_atoms": -44.7
}

---

Record 2
{
  "formula": "Al2FeTc",
  "functional": "PBEsol",
  "state": "relaxed",
  "cell": [[0.000, 2.952, 2.952], [2.952, 0.000, 2.952], [2.952, 2.952, 0.000]],
  "species": ["Al", "Al", "Fe", "Tc"],
  "fractional_positions": [[0.250, 0.250, 0.250], [0.750, 0.750, 0.750], [0.000, 0.000, 0.000], [0.500, 0.500, 0.500]],
  "dos_ef_per_ev_fu": 5.185,
  "dft_energy_ev_per_atom": -7.359,
  "space_group": "Fm-3m",
  "formation_enthalpy_0k_ev_per_atom": -0.256,
  "de_polymorph_mev_per_atom": 21
}

---

Record 3
{
  "formula": "Sc2Be2In",
  "functional": "PBEsol",
  "state": "relaxed",
  "cell": [[6.547, 0.000, 0.000], [0.000, 6.547, 0.000], [0.000, 0.000, 3.866]],
  "species": ["Sc", "Sc", "Sc", "Sc", "Be", "Be", "Be", "Be", "In", "In"],
  "fractional_positions": [[0.169, 0.331, 0.000], [0.331, 0.831, 0.000], [0.669, 0.169, 0.000], [0.831, 0.669, 0.000], [0.118, 0.618, 0.500], [0.382, 0.118, 0.500], [0.618, 0.882, 0.500], [0.882, 0.382, 0.500], [0.000, 0.000, 0.500], [0.500, 0.500, 0.500]],
  "dos_ef_per_ev_fu": 3.199,
  "dft_energy_ev_per_atom": -5.083,
  "space_group": "P4/mbm",
  "formation_enthalpy_0k_ev_per_atom": -0.244
}